No. 1
DFT (PBE) results for a geometry-optimized Rb2CaInCl6 structure.

Computed properties:
Total energy: -3.521 eV per atom
E_form (uncorrected): -1746 meV per atom

Geometry as POSCAR:
```
Rb2CaInCl6
1.0
-6.502 2.529 -3.318
-4.171 -4.050 5.087
-5.389 3.533 4.260
Cl Rb Ca In
6 2 1 1
Direct
0.749 0.749 0.503
0.749 0.251 0.000
0.749 0.749 0.000
0.251 0.251 0.497
0.251 0.749 0.000
0.251 0.251 0.000
0.250 0.750 0.500
0.750 0.250 0.500
0.500 0.500 0.000
0.000 0.000 0.000
```


No. 2
DFT (PBE) results for a geometry-optimized MgPbSe structure.

Computed properties:
Total energy: -3.439 eV per atom
E_form (uncorrected): -510 meV per atom
Polymorph energy (0 for the lowest one): 0.0000 eV/atom

Geometry as POSCAR:
```
MgPbSe
1.0
6.656 0.046 -0.050
5.648 3.524 -0.041
1.009 0.285 3.466
Se Pb Mg
1 1 1
Direct
0.605 0.605 0.395
0.356 0.356 0.644
0.039 0.039 0.961
```


No. 3
DFT (PBE) results for a geometry-optimized Be2MoP structure.

Computed properties:
Total energy: -5.993 eV per atom
Energy of formation from the pure elements: -70 meV/atom

Geometry as POSCAR:
```
Be2MoP
1.0
-4.211 1.490 1.135
-3.401 -3.110 -0.033
4.248 0.303 1.760
P Be Mo
1 2 1
Direct
0.250 0.750 0.500
0.500 0.500 0.000
0.000 0.000 0.000
0.750 0.250 0.500
```


No. 4
DFT (PBE) results for a geometry-optimized Ce2NdSm3As6 structure.

Computed properties:
Total energy: -6.390 eV per atom
Energy of formation from the pure elements: -1499 meV/atom

Geometry as POSCAR:
```
Ce2NdSm3As6
1.0
-3.771 -4.907 -3.901
-1.256 0.715 7.171
-3.144 6.148 -2.407
As Sm Nd Ce
6 3 1 2
Direct
0.254 0.254 0.751
0.420 0.083 0.249
0.917 0.580 0.751
0.083 0.420 0.249
0.580 0.917 0.751
0.746 0.746 0.249
0.500 0.500 0.500
0.166 0.834 0.500
0.834 0.166 0.500
0.000 0.000 0.000
0.333 0.667 0.000
0.667 0.333 0.000
```


No. 5
DFT (PBE) results for a geometry-optimized P2RuRhS structure.

Computed properties:
Total energy: -5.304 eV per atom
E_form (uncorrected): 1011 meV per atom
Polymorph energy (0 for the lowest one): 0.1804 eV/atom

Geometry as POSCAR:
```
P2RuRhS
1.0
-3.520 2.142 -1.670
-0.810 -3.436 -2.702
-2.753 -1.948 3.303
P Rh Ru S
2 1 1 1
Direct
0.000 0.500 0.000
0.500 0.000 0.000
0.000 0.000 0.000
0.500 0.500 0.500
0.000 0.000 0.500
```


No. 6
DFT (PBE) results for a geometry-optimized CsBi3Ir structure.

Computed properties:
Total energy: -1.862 eV per atom
Energy of formation from the pure elements: 2409 meV/atom
Polymorph energy (0 for the lowest one): 2.1231 eV/atom

Geometry as POSCAR:
```
CsBi3Ir
1.0
6.141 0.000 0.000
0.000 6.141 0.000
0.000 0.000 6.141
Bi Cs Ir
3 1 1
Direct
0.000 0.000 0.500
0.500 0.000 0.000
0.000 0.500 0.000
0.000 0.000 0.000
0.500 0.500 0.500
```


No. 7
DFT (PBE) results for a geometry-optimized Tm4ZnTe3 structure.

Computed properties:
Total energy: -4.556 eV per atom
E_form (uncorrected): -983 meV per atom

Geometry as POSCAR:
```
Tm4ZnTe3
1.0
-3.609 -1.952 -0.456
2.992 -4.274 -5.379
1.047 -3.469 6.559
Tm Te Zn
4 3 1
Direct
0.500 0.767 0.233
0.000 0.227 0.227
0.000 0.773 0.773
0.500 0.233 0.767
0.000 0.000 0.500
0.500 0.500 0.500
0.000 0.500 0.000
0.500 0.000 0.000
```


No. 8
DFT (PBE) results for a geometry-optimized CaEr3Ir structure.

Computed properties:
Total energy: -5.263 eV per atom
Energy of formation from the pure elements: -353 meV/atom

Geometry as POSCAR:
```
CaEr3Ir
1.0
-3.086 4.378 0.905
0.177 -0.978 5.341
4.467 3.064 0.413
Er Ir Ca
3 1 1
Direct
0.000 0.000 0.500
0.000 0.500 0.000
0.500 0.000 0.000
0.000 0.000 0.000
0.500 0.500 0.500
```


No. 9
DFT (PBE) results for a geometry-optimized UCoTc structure.

Computed properties:
Total energy: -9.364 eV per atom
Energy of formation from the pure elements: 223 meV/atom
Polymorph energy (0 for the lowest one): 0.2489 eV/atom

Geometry as POSCAR:
```
UCoTc
1.0
-2.690 1.440 1.444
1.662 -2.462 1.604
2.988 3.421 2.155
Tc Co U
1 1 1
Direct
0.000 0.000 0.996
0.333 0.667 0.656
0.667 0.333 0.348
```


No. 10
DFT (PBE) results for a geometry-optimized Li3Al3SiO8 structure.

Computed properties:
Total energy: -6.840 eV per atom
E_form (uncorrected): -2703 meV per atom

Geometry as POSCAR:
```
Li3Al3SiO8
1.0
5.602 0.000 0.000
-2.801 4.850 -0.017
0.000 -3.217 4.845
O Al Li Si
8 3 3 1
Direct
0.225 0.979 0.704
0.246 0.021 0.296
0.775 0.021 0.296
0.225 0.451 0.704
0.264 0.528 0.292
0.775 0.549 0.296
0.736 0.472 0.708
0.754 0.979 0.704
0.500 0.500 0.500
0.000 0.500 0.500
0.500 0.000 0.500
0.500 0.500 0.000
0.000 0.000 0.000
0.000 0.500 0.000
0.000 0.000 0.500
```


No. 11
DFT (PBE) results for a geometry-optimized Nd2InBi5 structure.

Computed properties:
Total energy: -4.393 eV per atom
Energy of formation from the pure elements: -434 meV/atom

Geometry as POSCAR:
```
Nd2InBi5
1.0
-0.648 -1.901 4.214
-0.406 -8.792 -4.028
11.063 -1.069 1.219
Bi Nd In
10 4 2
Direct
0.000 0.309 0.263
0.000 0.809 0.237
0.500 0.777 0.970
0.000 0.191 0.763
0.000 0.000 0.500
0.500 0.223 0.030
0.500 0.277 0.530
0.000 0.691 0.737
0.500 0.723 0.470
0.000 0.500 0.000
0.500 0.442 0.796
0.500 0.558 0.204
0.500 0.942 0.704
0.500 0.058 0.296
0.000 0.500 0.500
0.000 0.000 0.000
```


No. 12
DFT (PBE) results for a geometry-optimized SbAsAu structure.

Computed properties:
Total energy: -3.736 eV per atom
E_form (uncorrected): 281 meV per atom
Polymorph energy (0 for the lowest one): 0.3120 eV/atom

Geometry as POSCAR:
```
SbAsAu
1.0
7.113 0.072 0.000
5.701 4.254 0.000
-6.407 -2.163 2.207
Au Sb As
1 1 1
Direct
0.343 0.343 0.000
0.677 0.677 0.000
0.980 0.980 0.000
```


No. 13
DFT (PBE) results for a geometry-optimized PuTcN3 structure.

Computed properties:
Total energy: -10.256 eV per atom
E_form (uncorrected): -321 meV per atom

Geometry as POSCAR:
```
PuTcN3
1.0
4.487 0.000 0.000
0.000 5.930 0.000
0.000 0.000 9.185
N Pu Tc
12 4 4
Direct
0.500 0.414 0.053
0.000 0.426 0.750
0.500 0.074 0.750
0.500 0.926 0.250
0.000 0.086 0.053
0.000 0.086 0.447
0.000 0.914 0.553
0.000 0.574 0.250
0.500 0.586 0.553
0.000 0.914 0.947
0.500 0.414 0.447
0.500 0.586 0.947
0.000 0.500 0.000
0.000 0.500 0.500
0.500 0.000 0.500
0.500 0.000 0.000
0.500 0.405 0.750
0.000 0.095 0.750
0.000 0.905 0.250
0.500 0.595 0.250
```


No. 14
DFT (PBE) results for a geometry-optimized CrNiGe2 structure.

Computed properties:
Total energy: -6.034 eV per atom
Energy of formation from the pure elements: 126 meV/atom

Geometry as POSCAR:
```
CrNiGe2
1.0
0.000 2.973 2.973
2.973 0.000 2.973
2.973 2.973 0.000
Ni Ge Cr
1 2 1
Direct
0.500 0.500 0.500
0.250 0.250 0.250
0.750 0.750 0.750
0.000 0.000 0.000
```


No. 15
DFT (PBE) results for a geometry-optimized LiY2 structure.

Computed properties:
Total energy: -4.685 eV per atom
Energy of formation from the pure elements: 262 meV/atom
Polymorph energy (0 for the lowest one): 0.1867 eV/atom

Geometry as POSCAR:
```
LiY2
1.0
10.517 -4.881 6.515
6.751 -5.925 9.807
-8.989 3.137 -9.286
Y Li
4 2
Direct
0.320 0.820 0.500
0.430 0.430 0.000
0.570 0.570 0.000
0.180 0.680 0.500
0.750 0.250 0.500
0.000 0.000 0.000
```


No. 16
DFT (PBE) results for a geometry-optimized ScZnRu structure.

Computed properties:
Total energy: -5.735 eV per atom
Energy of formation from the pure elements: -108 meV/atom

Geometry as POSCAR:
```
ScZnRu
1.0
3.156 0.000 0.000
-1.578 2.733 0.000
0.000 0.000 6.081
Sc Ru Zn
1 1 1
Direct
0.667 0.333 0.306
0.000 0.000 0.001
0.333 0.667 0.692
```


No. 17
DFT (PBE) results for a geometry-optimized ReMoIr2 structure.

Computed properties:
Total energy: -10.350 eV per atom
Energy of formation from the pure elements: -99 meV/atom
Polymorph energy (0 for the lowest one): 0.2301 eV/atom

Geometry as POSCAR:
```
ReMoIr2
1.0
-0.015 -4.711 1.029
1.971 -4.321 -0.837
3.259 -0.061 3.457
Re Mo Ir
1 1 2
Direct
0.750 0.750 0.750
0.250 0.250 0.250
0.498 0.498 0.503
0.002 0.002 0.997
```


No. 18
DFT (PBE) results for a geometry-optimized YPaPtRh structure.

Computed properties:
Total energy: -8.336 eV per atom
Energy of formation from the pure elements: -998 meV/atom
Polymorph energy (0 for the lowest one): 0.0000 eV/atom

Geometry as POSCAR:
```
YPaPtRh
1.0
3.703 0.000 0.000
0.000 4.262 0.000
-1.852 0.000 5.535
Y Rh Pa Pt
1 1 1 1
Direct
0.143 0.000 0.286
0.401 0.000 0.802
0.868 0.500 0.737
0.587 0.500 0.175
```


No. 19
DFT (PBE) results for a geometry-optimized SrScCl2 structure.

Computed properties:
Total energy: -3.386 eV per atom
E_form (uncorrected): -460 meV per atom
Polymorph energy (0 for the lowest one): 0.9150 eV/atom

Geometry as POSCAR:
```
SrScCl2
1.0
-1.451 0.724 5.244
3.587 -1.074 4.014
2.178 4.115 2.908
Cl Sr Sc
2 1 1
Direct
0.250 0.250 0.250
0.000 0.000 0.000
0.750 0.750 0.750
0.500 0.500 0.500
```


No. 20
DFT (PBE) results for a geometry-optimized LaHfTa2S structure.

Computed properties:
Total energy: -7.616 eV per atom
E_form (uncorrected): 927 meV per atom

Geometry as POSCAR:
```
LaHfTa2S
1.0
-3.386 1.596 3.511
-2.466 -4.201 -0.469
2.861 -2.094 3.711
Ta La S Hf
2 1 1 1
Direct
0.500 0.000 0.000
0.000 0.000 0.500
0.500 0.500 0.500
0.000 0.500 0.000
0.000 0.000 0.000
```